Compound: B2C3
Source: the Alexandria database
Functional: GGA-PBE
Structure: optimized geometry

The calculation puts the total magnetization at 0.00 μB per cell. The relative energy among the computed polymorphs comes out at 125.4 meV per atom. The value obtained for the density is 2596 kg/m3. Its total energy is -39.2 eV per formula unit. Its density of states at the Fermi level is 6.1 states/eV/cell.

It has space group R-3m (No. 166, hexagonal axes), with a = 2.6170 Å, b = 2.6170 Å, c = 37.3128 Å, α = 90.00°, β = 90.00° and γ = 120.00°. The distinct sites, in fractional coordinates, are B at (0.0000, 0.0000, 0.0472), B at (0.0000, 0.0000, 0.1794), C at (0.0000, 0.0000, 0.2222), C at (0.0000, 0.0000, 0.3862) and C at (0.0000, 0.0000, 0.4311).

=====

Compound: RbNa2I
Source: the Alexandria database
Functional: GGA-PBE
Structure: optimized geometry

The calculation puts the total magnetization at 0.00 μB per cell. The relative energy among the computed polymorphs comes out at 0.0 meV per atom. The value obtained for the density is 2051 kg/m3. Its total energy is -7.1 eV per formula unit. Its density of states at the Fermi level is 3.5 states/eV/cell. The formation energy without anion corrections comes out at -186 kJ/mol of formula units.

It has space group I-42d (No. 122), with a = 10.791 Å, b = 10.791 Å, c = 7.183 Å, α = 90.00°, β = 90.00° and γ = 90.00°. The distinct sites, in fractional coordinates, are Rb at (0.000, 0.000, 0.000), Na at (0.169, 0.250, 0.625) and I at (0.000, 0.000, 0.500).

=====

Compound: CsNiOs
Source: the Alexandria database
Functional: GGA-PBE
Structure: optimized geometry

The calculation puts the total magnetization at 0.47 μB per cell. The relative energy among the computed polymorphs comes out at 5.4 meV per atom. The value obtained for the density is 6741 kg/m3. Its total energy is -16.5 eV per formula unit. Its density of states at the Fermi level is 6.3 states/eV/cell.

It has space group P1 (No. 1), with a = 4.233 Å, b = 4.234 Å, c = 12.333 Å, α = 99.14°, β = 90.22° and γ = 119.99°. The distinct sites, in fractional coordinates, are Cs at (0.000, 0.000, 0.000), Cs at (0.196, 0.377, 0.580), Ni at (0.400, 0.793, 0.195), Ni at (0.462, 0.912, 0.385), Os at (0.098, 0.186, 0.290) and Os at (0.764, 0.519, 0.290).